[1]
! LaPr4Ho10, relaxed, DFT PBE; values from VASP
&SYSTEM
  ibrav = 0, nat = 15, ntyp = 3
/
ATOMIC_SPECIES
La 138.91 La.upf
Pr 140.91 Pr.upf
Ho 164.93 Ho.upf
CELL_PARAMETERS angstrom
-4.9362 4.9362 5.4227
4.9362 -4.9362 5.4227
4.9362 4.9362 -5.4227
ATOMIC_POSITIONS crystal
La 0.0000 0.0000 0.0000
Pr 0.2147 0.4509 0.6657
Pr 0.4509 0.7853 0.2362
Pr 0.5491 0.2147 0.7638
Pr 0.7853 0.5491 0.3343
Ho 0.0459 0.3852 0.0921
Ho 0.0462 0.9541 0.3394
Ho 0.2500 0.7500 0.5000
Ho 0.2932 0.9538 0.9079
Ho 0.3852 0.2932 0.3394
Ho 0.6148 0.7068 0.6606
Ho 0.7068 0.0462 0.0921
Ho 0.7500 0.2500 0.5000
Ho 0.9538 0.0459 0.6606
Ho 0.9541 0.6148 0.9079
! density: 7.4 g/cm³
! ΔH_f (0 K): 0.436 eV per atom

[2]
! TaNiTe5, relaxed, DFT PBE; values from VASP
&SYSTEM
  ibrav = 0, nat = 14, ntyp = 3
/
ATOMIC_SPECIES
Ta 180.95 Ta.upf
Ni 58.69 Ni.upf
Te 127.60 Te.upf
CELL_PARAMETERS angstrom
1.8547 -6.9734 0.0000
1.8547 6.9734 0.0000
0.0000 0.0000 15.2565
ATOMIC_POSITIONS crystal
Ta 0.0071 0.9929 0.7500
Ta 0.9929 0.0071 0.2500
Ni 0.5000 0.5000 0.0000
Ni 0.5000 0.5000 0.5000
Te 0.0983 0.9017 0.5760
Te 0.0983 0.9017 0.9240
Te 0.3379 0.6621 0.2500
Te 0.4004 0.5996 0.6450
Te 0.4004 0.5996 0.8550
Te 0.5996 0.4004 0.1450
Te 0.5996 0.4004 0.3550
Te 0.6621 0.3379 0.7500
Te 0.9017 0.0983 0.0760
Te 0.9017 0.0983 0.4240
! density: 7.4 g/cm³
! raw formation energy: -0.29 eV per atom

[3]
! TaSi4Au, relaxed, DFT PBE; values from VASP
&SYSTEM
  ibrav = 0, nat = 6, ntyp = 3
/
ATOMIC_SPECIES
Ta 180.95 Ta.upf
Si 28.09 Si.upf
Au 196.97 Au.upf
CELL_PARAMETERS angstrom
0.0000 3.5437 3.5437
3.5437 0.0000 3.5437
3.5437 3.5437 0.0000
ATOMIC_POSITIONS crystal
Ta 0.0000 0.0000 0.0000
Si 0.3748 0.3748 0.3748
Si 0.3748 0.3748 0.8758
Si 0.3748 0.8758 0.3748
Si 0.8758 0.3748 0.3748
Au 0.7500 0.7500 0.7500
! density: 9.1 g/cm³
! raw formation energy: 0.30 eV per atom

Question: Which of these has the highest density?
Answer: TaSi4Au